P:
Computed, not measured: an optimized crystal structure of HfNCl3 at the PBE-GGA level of DFT.

Computed properties:
- Space-group type: Pm-3m (221)

a b c (Å): 4.3864 4.3864 4.3864
angles (deg): 90.00 90.00 90.00
Last column: nearest neighbours and their distance in Å.
Element x y z (fractional)
Hf1 0.0000 0.0000 0.0000  12 Cl 3.10
N1 0.5000 0.5000 0.5000  6 Cl 2.19
Cl1 0.0000 0.5000 0.5000  2 N 2.19
Cl2 0.5000 0.0000 0.5000  2 N 2.19
Cl3 0.5000 0.5000 0.0000  2 N 2.19

Q:
Computed, not measured: an optimized crystal structure of HfNCl3 at the PBE-GGA level of DFT.

Computed properties:
- Space-group type: Pm-3m (221)

a b c (Å): 4.9673 4.9673 4.9673
angles (deg): 90.00 90.00 90.00
Last column: nearest neighbours and their distance in Å.
Element x y z (fractional)
Hf1 0.0000 0.0000 0.0000  6 Cl 2.48
N1 0.5000 0.5000 0.5000  12 Cl 3.51
Cl1 0.0000 0.0000 0.5000  2 Hf 2.48
Cl2 0.0000 0.5000 0.0000  2 Hf 2.48
Cl3 0.5000 0.0000 0.0000  2 Hf 2.48

Which of them is least stable? Easy: P.

P:
Computed, not measured: an optimized crystal structure of Hf2NCl at the PBE-GGA level of DFT.

Computed properties:
- Space-group type: I-42d (122)

a b c (Å): 6.5478 6.5478 6.5478
angles (deg): 131.22 131.22 71.46
Last column: nearest neighbours and their distance in Å.
Element x y z (fractional)
Hf1 0.0393 0.6250 0.9143  2 N 2.09
Hf2 0.3750 0.2893 0.4143  2 N 2.09
Hf3 0.7107 0.1250 0.0857  2 N 2.09
Hf4 0.8750 0.9607 0.5857  2 N 2.09
N1 0.0000 0.0000 0.0000  4 Hf 2.09
N2 0.7500 0.2500 0.5000  4 Hf 2.09
Cl1 0.2500 0.7500 0.5000  4 Hf 2.62
Cl2 0.5000 0.5000 0.0000  4 Hf 2.62

Q:
Computed, not measured: an optimized crystal structure of Hf2NCl at the PBE-GGA level of DFT.

Computed properties:
- Space-group type: Fm-3m (225)

a b c (Å): 4.2882 4.2882 4.2882
angles (deg): 60.00 60.00 60.00
Last column: nearest neighbours and their distance in Å.
Element x y z (fractional)
Hf1 0.2500 0.2500 0.2500  4 Cl 2.63, 4 N 2.63
Hf2 0.7500 0.7500 0.7500  4 Cl 2.63, 4 N 2.63
N1 0.0000 0.0000 0.0000  8 Hf 2.63
Cl1 0.5000 0.5000 0.5000  8 Hf 2.63

Which of them is least stable? Easy: Q.

P:
Computed, not measured: an optimized crystal structure of HfPNCl2 at the PBE-GGA level of DFT.

Computed properties:
- Space-group type: P4/mmm (123)

a b c (Å): 4.9874 4.9874 5.1032
angles (deg): 90.00 90.00 90.00
Last column: nearest neighbours and their distance in Å.
Element x y z (fractional)
Hf1 0.0000 0.0000 0.0000  4 Cl 2.49, 2 P 2.55
P1 0.0000 0.0000 0.5000  2 Hf 2.55
N1 0.5000 0.5000 0.5000  4 P 3.53, 8 Cl 3.57
Cl1 0.0000 0.5000 0.0000  2 Hf 2.49
Cl2 0.5000 0.0000 0.0000  2 Hf 2.49

Q:
Computed, not measured: an optimized crystal structure of HfPNCl2 at the PBE-GGA level of DFT.

Computed properties:
- Space-group type: P4/mmm (123)

a b c (Å): 4.3034 4.3034 4.2082
angles (deg): 90.00 90.00 90.00
Last column: nearest neighbours and their distance in Å.
Element x y z (fractional)
Hf1 0.0000 0.0000 0.0000  8 Cl 3.01, 4 P 3.04
P1 0.5000 0.5000 0.0000  2 N 2.10
N1 0.5000 0.5000 0.5000  2 P 2.10, 4 Cl 2.15
Cl1 0.0000 0.5000 0.5000  2 N 2.15
Cl2 0.5000 0.0000 0.5000  2 N 2.15

Which of them is least stable? Easy: Q.

P:
Computed, not measured: an optimized crystal structure of HfSNCl2 at the PBE-GGA level of DFT.

Computed properties:
- Space-group type: P4/mmm (123)

a b c (Å): 5.0573 5.0573 4.8494
angles (deg): 90.00 90.00 90.00
Last column: nearest neighbours and their distance in Å.
Element x y z (fractional)
Hf1 0.0000 0.0000 0.0000  2 S 2.42, 4 Cl 2.53
S1 0.0000 0.0000 0.5000  2 Hf 2.42
N1 0.5000 0.5000 0.5000  8 Cl 3.50, 4 S 3.58
Cl1 0.0000 0.5000 0.0000  2 Hf 2.53
Cl2 0.5000 0.0000 0.0000  2 Hf 2.53

Q:
Computed, not measured: an optimized crystal structure of HfSNCl2 at the PBE-GGA level of DFT.

Computed properties:
- Space-group type: P4/mmm (123)

a b c (Å): 4.3067 4.3067 4.2312
angles (deg): 90.00 90.00 90.00
Last column: nearest neighbours and their distance in Å.
Element x y z (fractional)
Hf1 0.0000 0.0000 0.0000  8 Cl 3.02, 4 S 3.05
S1 0.5000 0.5000 0.0000  2 N 2.12
N1 0.5000 0.5000 0.5000  2 S 2.12, 4 Cl 2.15
Cl1 0.0000 0.5000 0.5000  2 N 2.15
Cl2 0.5000 0.0000 0.5000  2 N 2.15

Which of them is least stable? Easy: Q.

P:
Computed, not measured: an optimized crystal structure of HfTeN2Cl at the PBE-GGA level of DFT.

Computed properties:
- Space-group type: P4/mmm (123)

a b c (Å): 4.1112 4.1112 6.1657
angles (deg): 90.00 90.00 90.00
Last column: nearest neighbours and their distance in Å.
Element x y z (fractional)
Hf1 0.0000 0.0000 0.0000  4 N 2.06
Te1 0.0000 0.0000 0.5000  4 Cl 2.91, 2 Hf 3.08
N1 0.0000 0.5000 0.0000  2 Hf 2.06
N2 0.5000 0.0000 0.0000  2 Hf 2.06
Cl1 0.5000 0.5000 0.5000  4 Te 2.91

Q:
Computed, not measured: an optimized crystal structure of HfTeN2Cl at the PBE-GGA level of DFT.

Computed properties:
- Space-group type: P4/mmm (123)

a b c (Å): 4.0997 4.0997 4.9259
angles (deg): 90.00 90.00 90.00
Last column: nearest neighbours and their distance in Å.
Element x y z (fractional)
Hf1 0.0000 0.0000 0.0000  4 Te 2.90, 8 N 3.20
Te1 0.5000 0.5000 0.0000  2 Cl 2.46
N1 0.0000 0.5000 0.5000  2 Cl 2.05
N2 0.5000 0.0000 0.5000  2 Cl 2.05
Cl1 0.5000 0.5000 0.5000  4 N 2.05

Which of them is least stable? Easy: Q.

P:
Computed, not measured: an optimized crystal structure of HfTe2NCl at the PBE-GGA level of DFT.

Computed properties:
- Space-group type: P4/mmm (123)

a b c (Å): 5.6911 5.6911 4.0401
angles (deg): 90.00 90.00 90.00
Last column: nearest neighbours and their distance in Å.
Element x y z (fractional)
Hf1 0.0000 0.0000 0.0000  2 N 2.02
Te1 0.0000 0.5000 0.0000  2 Hf 2.85
Te2 0.5000 0.0000 0.0000  2 Hf 2.85
N1 0.0000 0.0000 0.5000  2 Hf 2.02
Cl1 0.5000 0.5000 0.5000  8 Te 3.49

Q:
Computed, not measured: an optimized crystal structure of HfTe2NCl at the PBE-GGA level of DFT.

Computed properties:
- Space-group type: P4/mmm (123)

a b c (Å): 5.2524 5.2524 3.8237
angles (deg): 90.00 90.00 90.00
Last column: nearest neighbours and their distance in Å.
Element x y z (fractional)
Hf1 0.0000 0.0000 0.0000  8 Te 3.25
Te1 0.0000 0.5000 0.5000  2 Cl 2.63
Te2 0.5000 0.0000 0.5000  2 Cl 2.63
N1 0.5000 0.5000 0.0000  2 Cl 1.91
Cl1 0.5000 0.5000 0.5000  2 N 1.91

Which of them is least stable? Easy: Q.